## Th2CoSi4Ni3 (GGA-PBE)

Data for a geometry-optimized Th2CoSi4Ni3 structure.

The value obtained for the energy relative to the elements, uncorrected is -0.846 eV per atom. As for the total moment: 0.87 μB/f.u. Its density of states at the Fermi level is 0.508 states/eV per atom.

The space group is P-4m2 (No. 115) and the conventional cell measures 4.0584, 4.0584 and 9.5766 Å, with angles of 90.00, 90.00 and 90.00 degrees. The asymmetric unit holds Th at (0.0000, 0.5000, 0.2474), Co at (0.5000, 0.5000, 0.0000), Si at (0.0000, 0.0000, 0.5000), Si at (0.0000, 0.5000, 0.8733), Si at (0.5000, 0.5000, 0.5000), Ni at (0.0000, 0.0000, 0.0000) and Ni at (0.0000, 0.5000, 0.6216).

***

## Th2Co3Si4Ni (GGA-PBE)

Data for a geometry-optimized Th2Co3Si4Ni structure.

The value obtained for the energy relative to the elements, uncorrected is -0.797 eV per atom. As for the total moment: 0.90 μB/f.u. Its density of states at the Fermi level is 0.827 states/eV per atom.

The space group is P-4m2 (No. 115) and the conventional cell measures 4.0374, 4.0374 and 9.6002 Å, with angles of 90.00, 90.00 and 90.00 degrees. The asymmetric unit holds Th at (0.0000, 0.5000, 0.2477), Co at (0.0000, 0.5000, 0.8748), Co at (0.5000, 0.5000, 0.5000), Si at (0.0000, 0.0000, 0.0000), Si at (0.0000, 0.5000, 0.6286), Si at (0.5000, 0.5000, 0.0000) and Ni at (0.0000, 0.0000, 0.5000).

***

## ThCoSiNi (GGA-PBE)

Data for a geometry-optimized ThCoSiNi structure.

The value obtained for the energy relative to the elements, uncorrected is -0.663 eV per atom. As for the total moment: 0.00 μB/f.u. Its density of states at the Fermi level is 0.776 states/eV per atom.

The space group is R3m (No. 160, hexagonal axes) and the conventional cell measures 3.9552, 3.9552 and 14.6783 Å, with angles of 90.00, 90.00 and 120.00 degrees. The asymmetric unit holds Th at (0.0000, 0.0000, 0.0000), Co at (0.0000, 0.0000, 0.2103), Si at (0.0000, 0.0000, 0.5067) and Ni at (0.0000, 0.0000, 0.7967).

***

## Th2CoSi3Ni12 (GGA-PBE)

Data for a geometry-optimized Th2CoSi3Ni12 structure.

The value obtained for the energy relative to the elements, uncorrected is -0.116 eV per atom. As for the total moment: 2.72 μB/f.u. Its density of states at the Fermi level is 0.823 states/eV per atom.

The space group is R-3m (No. 166, hexagonal axes) and the conventional cell measures 8.4514, 8.4514 and 12.0060 Å, with angles of 90.00, 90.00 and 120.00 degrees. The asymmetric unit holds Th at (0.0000, 0.0000, 0.1608), Co at (0.0000, 0.0000, 0.5000), Si at (0.0000, 0.5000, 0.0000), Ni at (0.0119, 0.5060, 0.1946) and Ni at (0.0116, 0.5058, 0.3905).

***

## TiCoSiNi (GGA-PBE)

Data for a geometry-optimized TiCoSiNi structure.

The value obtained for the energy relative to the elements, uncorrected is -0.612 eV per atom. As for the total moment: 0.00 μB/f.u. Its density of states at the Fermi level is 1.065 states/eV per atom.

The space group is F-43m (No. 216) and the conventional cell measures 5.7632, 5.7632 and 5.7632 Å, with angles of 90.00, 90.00 and 90.00 degrees. The asymmetric unit holds Ti at (0.0000, 0.0000, 0.0000), Co at (0.2500, 0.2500, 0.7500), Si at (0.0000, 0.0000, 0.5000) and Ni at (0.2500, 0.2500, 0.2500).

***

## TmCo2Si2Ni (GGA-PBE)

Data for a geometry-optimized TmCo2Si2Ni structure.

The value obtained for the energy relative to the elements, uncorrected is -0.137 eV per atom. As for the total moment: 0.85 μB/f.u. Its density of states at the Fermi level is 0.936 states/eV per atom.

The space group is P4/mmm (No. 123) and the conventional cell measures 4.2286, 4.2286 and 5.0929 Å, with angles of 90.00, 90.00 and 90.00 degrees. The asymmetric unit holds Tm at (0.0000, 0.0000, 0.0000), Co at (0.5000, 0.5000, 0.2431), Si at (0.0000, 0.5000, 0.5000) and Ni at (0.0000, 0.0000, 0.5000).

***

## Tm2CoSi4Ni3 (GGA-PBE)

Data for a geometry-optimized Tm2CoSi4Ni3 structure.

The value obtained for the energy relative to the elements, uncorrected is -0.830 eV per atom. As for the total moment: 0.56 μB/f.u. Its density of states at the Fermi level is 0.481 states/eV per atom.

The space group is P-4m2 (No. 115) and the conventional cell measures 3.8979, 3.8979 and 9.5596 Å, with angles of 90.00, 90.00 and 90.00 degrees. The asymmetric unit holds Tm at (0.0000, 0.5000, 0.2493), Co at (0.0000, 0.0000, 0.5000), Si at (0.0000, 0.0000, 0.0000), Si at (0.0000, 0.5000, 0.6303), Si at (0.5000, 0.5000, 0.0000), Ni at (0.0000, 0.5000, 0.8706) and Ni at (0.5000, 0.5000, 0.5000).

***

## TmCoSi2Ni2 (GGA-PBE)

Data for a geometry-optimized TmCoSi2Ni2 structure.

The value obtained for the energy relative to the elements, uncorrected is -0.298 eV per atom. As for the total moment: 0.00 μB/f.u. Its density of states at the Fermi level is 0.403 states/eV per atom.

The space group is P4/mmm (No. 123) and the conventional cell measures 4.2399, 4.2399 and 5.0979 Å, with angles of 90.00, 90.00 and 90.00 degrees. The asymmetric unit holds Tm at (0.0000, 0.0000, 0.0000), Co at (0.0000, 0.0000, 0.5000), Si at (0.0000, 0.5000, 0.5000) and Ni at (0.5000, 0.5000, 0.2462).

***

## Tm3Co2Si6Ni (GGA-PBE)

Data for a geometry-optimized Tm3Co2Si6Ni structure.

The value obtained for the energy relative to the elements, uncorrected is -0.327 eV per atom. As for the total moment: 0.00 μB/f.u. Its density of states at the Fermi level is 0.433 states/eV per atom.

The space group is P-3m1 (No. 164) and the conventional cell measures 5.2145, 5.2145 and 8.6288 Å, with angles of 90.00, 90.00 and 120.00 degrees. The asymmetric unit holds Tm at (0.0000, 0.0000, 0.0000), Tm at (0.3333, 0.6667, 0.5796), Co at (0.3333, 0.6667, 0.0758), Si at (0.1690, 0.3380, 0.2779) and Ni at (0.0000, 0.0000, 0.5000).

***

## UCo2Si2Ni (GGA-PBE)

Data for a geometry-optimized UCo2Si2Ni structure.

The value obtained for the energy relative to the elements, uncorrected is 0.071 eV per atom. As for the total moment: 1.50 μB/f.u. Its density of states at the Fermi level is 1.699 states/eV per atom.

The space group is P4/mmm (No. 123) and the conventional cell measures 4.2418, 4.2418 and 5.0763 Å, with angles of 90.00, 90.00 and 90.00 degrees. The asymmetric unit holds U at (0.0000, 0.0000, 0.0000), Co at (0.5000, 0.5000, 0.2441), Si at (0.0000, 0.5000, 0.5000) and Ni at (0.0000, 0.0000, 0.5000).

***

## U2Co3Si4Ni (GGA-PBE)

Data for a geometry-optimized U2Co3Si4Ni structure.

The value obtained for the energy relative to the elements, uncorrected is -0.598 eV per atom. As for the total moment: 2.58 μB/f.u. Its density of states at the Fermi level is 1.211 states/eV per atom.

The space group is P-4m2 (No. 115) and the conventional cell measures 3.8932, 3.8932 and 9.5102 Å, with angles of 90.00, 90.00 and 90.00 degrees. The asymmetric unit holds U at (0.0000, 0.5000, 0.2480), Co at (0.0000, 0.5000, 0.8691), Co at (0.5000, 0.5000, 0.5000), Si at (0.0000, 0.0000, 0.0000), Si at (0.0000, 0.5000, 0.6314), Si at (0.5000, 0.5000, 0.0000) and Ni at (0.0000, 0.0000, 0.5000).

***

## U2CoSi3Ni12 (GGA-PBE)

Data for a geometry-optimized U2CoSi3Ni12 structure.

The value obtained for the energy relative to the elements, uncorrected is -0.071 eV per atom. As for the total moment: 1.28 μB/f.u. Its density of states at the Fermi level is 0.825 states/eV per atom.

The space group is R-3m (No. 166, hexagonal axes) and the conventional cell measures 8.2473, 8.2473 and 11.8853 Å, with angles of 90.00, 90.00 and 120.00 degrees. The asymmetric unit holds U at (0.0000, 0.0000, 0.1068), Co at (0.0000, 0.0000, 0.5000), Si at (0.0000, 0.5000, 0.0000), Ni at (0.0023, 0.5011, 0.8071) and Ni at (0.0422, 0.5211, 0.3965).

***

## U2CoSi4Ni3 (GGA-PBE)

Data for a geometry-optimized U2CoSi4Ni3 structure.

The value obtained for the energy relative to the elements, uncorrected is -0.587 eV per atom. As for the total moment: 3.84 μB/f.u. Its density of states at the Fermi level is 1.750 states/eV per atom.

The space group is P-4m2 (No. 115) and the conventional cell measures 3.9518, 3.9518 and 9.4094 Å, with angles of 90.00, 90.00 and 90.00 degrees. The asymmetric unit holds U at (0.0000, 0.5000, 0.2470), Co at (0.5000, 0.5000, 0.0000), Si at (0.0000, 0.0000, 0.5000), Si at (0.0000, 0.5000, 0.8689), Si at (0.5000, 0.5000, 0.5000), Ni at (0.0000, 0.0000, 0.0000) and Ni at (0.0000, 0.5000, 0.6253).

***

## UCoSi2Ni (GGA-PBE)

Data for a geometry-optimized UCoSi2Ni structure.

The value obtained for the energy relative to the elements, uncorrected is -0.571 eV per atom. As for the total moment: 2.72 μB/f.u. Its density of states at the Fermi level is 1.590 states/eV per atom.

The space group is I-4m2 (No. 119) and the conventional cell measures 3.8929, 3.8929 and 9.7012 Å, with angles of 90.00, 90.00 and 90.00 degrees. The asymmetric unit holds U at (0.0000, 0.0000, 0.0000), Co at (0.0000, 0.5000, 0.2500), Si at (0.0000, 0.0000, 0.3770) and Ni at (0.0000, 0.5000, 0.7500).

***

## V2CoSiNi (GGA-PBE)

Data for a geometry-optimized V2CoSiNi structure.

The value obtained for the energy relative to the elements, uncorrected is 0.842 eV per atom. As for the total moment: 1.19 μB/f.u. Its density of states at the Fermi level is 0.861 states/eV per atom.

The space group is P4/mmm (No. 123) and the conventional cell measures 4.3800, 4.3800 and 4.0569 Å, with angles of 90.00, 90.00 and 90.00 degrees. The asymmetric unit holds V at (0.0000, 0.5000, 0.0000), Co at (0.0000, 0.0000, 0.5000), Si at (0.5000, 0.5000, 0.0000) and Ni at (0.5000, 0.5000, 0.5000).

***

## Y2CoSi3Ni12 (GGA-PBE)

Data for a geometry-optimized Y2CoSi3Ni12 structure.

The value obtained for the energy relative to the elements, uncorrected is -0.094 eV per atom. As for the total moment: 2.89 μB/f.u. Its density of states at the Fermi level is 0.982 states/eV per atom.

The space group is R-3m (No. 166, hexagonal axes) and the conventional cell measures 8.4177, 8.4177 and 11.7815 Å, with angles of 90.00, 90.00 and 120.00 degrees. The asymmetric unit holds Y at (0.0000, 0.0000, 0.1665), Co at (0.0000, 0.0000, 0.5000), Si at (0.0000, 0.5000, 0.0000), Ni at (0.0048, 0.5024, 0.3910) and Ni at (0.0145, 0.5073, 0.1942).

***

## Y2CoSi4Ni3 (GGA-PBE)

Data for a geometry-optimized Y2CoSi4Ni3 structure.

The value obtained for the energy relative to the elements, uncorrected is -0.832 eV per atom. As for the total moment: 0.65 μB/f.u. Its density of states at the Fermi level is 0.484 states/eV per atom.

The space group is P-4m2 (No. 115) and the conventional cell measures 3.9418, 3.9418 and 9.5700 Å, with angles of 90.00, 90.00 and 90.00 degrees. The asymmetric unit holds Y at (0.0000, 0.5000, 0.2487), Co at (0.0000, 0.0000, 0.5000), Si at (0.0000, 0.0000, 0.0000), Si at (0.0000, 0.5000, 0.6288), Si at (0.5000, 0.5000, 0.0000), Ni at (0.0000, 0.5000, 0.8727) and Ni at (0.5000, 0.5000, 0.5000).

***

## Sm2Co5Ni12 (GGA-PBE)

Data for a geometry-optimized Sm2Co5Ni12 structure.

The calculation puts the formation energy from the elements at -2.84 eV/f.u. As for the total moment: 12.78 μB/f.u. Its density of states at the Fermi level is 1.274 states/eV per atom.

The space group is R-3m (No. 166, hexagonal axes) and the conventional cell measures 8.3373, 8.3373 and 12.1393 Å, with angles of 90.00, 90.00 and 120.00 degrees. The asymmetric unit holds Sm at (0.0000, 0.0000, 0.1560), Co at (0.0000, 0.0000, 0.4058), Co at (0.0000, 0.5000, 0.0000), Ni at (0.0000, 0.2937, 0.5000) and Ni at (0.0075, 0.5038, 0.3456).

***

## Sm3Co7Ni2 (GGA-PBE)

Data for a geometry-optimized Sm3Co7Ni2 structure.

The calculation puts the formation energy from the elements at -1.71 eV/f.u. As for the total moment: 8.21 μB/f.u. Its density of states at the Fermi level is 1.260 states/eV per atom.

The space group is R-3m (No. 166, hexagonal axes) and the conventional cell measures 4.9828, 4.9828 and 25.0238 Å, with angles of 90.00, 90.00 and 120.00 degrees. The asymmetric unit holds Sm at (0.0000, 0.0000, 0.0000), Sm at (0.0000, 0.0000, 0.1393), Co at (0.0000, 0.0000, 0.5000), Co at (0.0017, 0.5008, 0.0803) and Ni at (0.0000, 0.0000, 0.3332).

***

## Sm8CoNi2 (GGA-PBE)

Data for a geometry-optimized Sm8CoNi2 structure.

The calculation puts the formation energy from the elements at -0.49 eV/f.u. As for the total moment: 0.00 μB/f.u. Its density of states at the Fermi level is 0.959 states/eV per atom.

The space group is Cm (No. 8) and the conventional cell measures 8.7115, 11.8777 and 6.3819 Å, with angles of 90.00, 111.96 and 90.00 degrees. The asymmetric unit holds Sm at (0.0000, 0.0000, 0.0000), Sm at (0.0846, 0.3621, 0.8212), Sm at (0.1490, 0.1411, 0.5506), Sm at (0.2316, 0.5000, 0.4144), Sm at (0.3641, 0.1666, 0.1807), Co at (0.3663, 0.0000, 0.4456) and Ni at (0.3747, 0.3163, 0.7106).

***

## Sm4CoNi3 (GGA-PBE)

Data for a geometry-optimized Sm4CoNi3 structure.

The calculation puts the formation energy from the elements at -2.34 eV/f.u. As for the total moment: 0.00 μB/f.u. Its density of states at the Fermi level is 0.868 states/eV per atom.

The space group is Pmm2 (No. 25) and the conventional cell measures 3.8315, 4.1864 and 10.5234 Å, with angles of 90.00, 90.00 and 90.00 degrees. The asymmetric unit holds Sm at (0.0000, 0.0000, 0.0000), Sm at (0.0000, 0.5000, 0.2772), Sm at (0.5000, 0.0000, 0.4938), Sm at (0.5000, 0.5000, 0.7752), Co at (0.5000, 0.0000, 0.2063), Ni at (0.0000, 0.0000, 0.7074), Ni at (0.0000, 0.5000, 0.5677) and Ni at (0.5000, 0.5000, 0.0683).

***

## Sm2CoNi (GGA-PBE)

Data for a geometry-optimized Sm2CoNi structure.

The calculation puts the formation energy from the elements at -0.58 eV/f.u. Its polymorph energy (0 for the lowest one) is 64 meV/atom. As for the total moment: 0.28 μB/f.u. Its density of states at the Fermi level is 0.652 states/eV per atom.

The space group is P4/mmm (No. 123) and the conventional cell measures 4.8592, 4.8592 and 3.4210 Å, with angles of 90.00, 90.00 and 90.00 degrees. The asymmetric unit holds Sm at (0.0000, 0.5000, 0.0000), Co at (0.0000, 0.0000, 0.5000) and Ni at (0.5000, 0.5000, 0.5000).

***

## SmCo3Ni2 (GGA-PBE)

Data for a geometry-optimized SmCo3Ni2 structure.

The calculation puts the formation energy from the elements at -0.91 eV/f.u. As for the total moment: 4.66 μB/f.u. Its density of states at the Fermi level is 1.651 states/eV per atom.

The space group is P6/mmm (No. 191) and the conventional cell measures 4.9140, 4.9140 and 4.0213 Å, with angles of 90.00, 90.00 and 120.00 degrees. The asymmetric unit holds Sm at (0.0000, 0.0000, 0.0000), Co at (0.0000, 0.5000, 0.5000) and Ni at (0.3333, 0.6667, 0.0000).